# 1
Here is a geometry-optimized CrCu2Os structure from Alexandria via LeMat-Bulk. Energies are from PBE-GGA.

Its mass density is 12.16 Mg/m³. As for the formation energy: 1.20 eV per formula unit. For the density of states at the Fermi level, the calculation gives 3.4 states/eV/f.u.

It has space group I4/mmm (No. 139), with a = 3.531 Å, b = 3.531 Å, c = 8.089 Å, α = 90.00°, β = 90.00° and γ = 90.00°. The asymmetric unit holds Cr at (0.000, 0.000, 0.000), Cu at (0.000, 0.500, 0.250) and Os at (0.000, 0.000, 0.500).

=====

# 2
Here is a geometry-optimized CrCuP2Os structure from Alexandria via LeMat-Bulk. Energies are from PBE-GGA.

Its mass density is 7.59 Mg/m³. As for the formation energy: 6.22 eV per formula unit. For the density of states at the Fermi level, the calculation gives 4.1 states/eV/f.u.

It has space group P4/mmm (No. 123), with a = 4.248 Å, b = 4.248 Å, c = 4.460 Å, α = 90.00°, β = 90.00° and γ = 90.00°. The asymmetric unit holds Cr at (0.000, 0.000, 0.000), Cu at (0.000, 0.000, 0.500), P at (0.000, 0.500, 0.000) and Os at (0.500, 0.500, 0.500).

=====

# 3
Here is a geometry-optimized VCrCu2Os structure from Alexandria via LeMat-Bulk. Energies are from PBE-GGA.

Its mass density is 7.54 Mg/m³. As for the formation energy: 8.28 eV per formula unit. For the density of states at the Fermi level, the calculation gives 8.1 states/eV/f.u.

It has space group P4/mmm (No. 123), with a = 4.606 Å, b = 4.606 Å, c = 4.360 Å, α = 90.00°, β = 90.00° and γ = 90.00°. The asymmetric unit holds V at (0.000, 0.000, 0.000), Cr at (0.500, 0.500, 0.000), Cu at (0.000, 0.500, 0.500) and Os at (0.500, 0.500, 0.500).

=====

# 4
Here is a geometry-optimized CrCuP2 structure from Alexandria via LeMat-Bulk. Energies are from PBE-GGA.

Its mass density is 5.62 Mg/m³. As for the formation energy: 0.55 eV per formula unit. For the density of states at the Fermi level, the calculation gives 2.7 states/eV/f.u.

It has space group I-4m2 (No. 119), with a = 3.485 Å, b = 3.485 Å, c = 8.627 Å, α = 90.00°, β = 90.00° and γ = 90.00°. The asymmetric unit holds Cr at (0.000, 0.000, 0.000), Cu at (0.000, 0.500, 0.750), P at (0.000, 0.000, 0.500) and P at (0.000, 0.500, 0.250).

=====

# 5
Here is a geometry-optimized CrCuP2 structure from Alexandria via LeMat-Bulk. Energies are from PBE-GGA.

Its mass density is 5.65 Mg/m³. As for the formation energy: 0.69 eV per formula unit. For the density of states at the Fermi level, the calculation gives 2.0 states/eV/f.u.

It has space group Fm-3m (No. 225), with a = 5.930 Å, b = 5.930 Å, c = 5.930 Å, α = 90.00°, β = 90.00° and γ = 90.00°. The asymmetric unit holds Cr at (0.000, 0.000, 0.000), Cu at (0.000, 0.000, 0.500) and P at (0.250, 0.250, 0.250).

=====

# 6
Here is a geometry-optimized CrCuP2 structure from Alexandria via LeMat-Bulk. Energies are from PBE-GGA.

Its mass density is 5.20 Mg/m³. As for the formation energy: 1.11 eV per formula unit. For the density of states at the Fermi level, the calculation gives 3.2 states/eV/f.u.

It has space group P4mm (No. 99), with a = 2.691 Å, b = 2.691 Å, c = 7.830 Å, α = 90.00°, β = 90.00° and γ = 90.00°. The asymmetric unit holds Cr at (0.000, 0.000, 0.000), Cu at (0.500, 0.500, 0.244), P at (0.000, 0.000, 0.453) and P at (0.500, 0.500, 0.809).

=====

# 7
Here is a geometry-optimized CrCuP2 structure from Alexandria via LeMat-Bulk. Energies are from PBE-GGA.

Its mass density is 5.66 Mg/m³. As for the formation energy: -0.19 eV per formula unit. For the density of states at the Fermi level, the calculation gives 1.9 states/eV/f.u.

It has space group P4mm (No. 99), with a = 3.321 Å, b = 3.321 Å, c = 4.719 Å, α = 90.00°, β = 90.00° and γ = 90.00°. The asymmetric unit holds Cr at (0.000, 0.000, 0.000), Cu at (0.500, 0.500, 0.338), P at (0.000, 0.000, 0.482) and P at (0.500, 0.500, 0.845).

=====

# 8
Here is a geometry-optimized CrCuP2 structure from Alexandria via LeMat-Bulk. Energies are from PBE-GGA.

Its mass density is 5.18 Mg/m³. As for the formation energy: -0.34 eV per formula unit. For the density of states at the Fermi level, the calculation gives 2.4 states/eV/f.u.

It has space group Amm2 (No. 38), with a = 3.370 Å, b = 2.828 Å, c = 11.940 Å, α = 90.00°, β = 90.00° and γ = 90.00°. The asymmetric unit holds Cr at (0.000, 0.000, 0.000), Cu at (0.500, 0.000, 0.779), P at (0.000, 0.000, 0.349) and P at (0.500, 0.000, 0.581).

=====

# 9
Here is a geometry-optimized CrCuP2 structure from Alexandria via LeMat-Bulk. Energies are from PBE-GGA.

Its mass density is 5.58 Mg/m³. As for the formation energy: -0.11 eV per formula unit. For the density of states at the Fermi level, the calculation gives 2.7 states/eV/f.u.

It has space group P2/m (No. 10), with a = 2.961 Å, b = 2.809 Å, c = 6.463 Å, α = 90.00°, β = 100.92° and γ = 90.00°. The asymmetric unit holds Cr at (0.000, 0.000, 0.000), Cu at (0.500, 0.000, 0.500) and P at (0.419, 0.500, 0.793).

=====

# 10
Here is a geometry-optimized CrCu4P structure from Alexandria via LeMat-Bulk. Energies are from PBE-GGA.

Its mass density is 6.98 Mg/m³. As for the formation energy: 1.61 eV per formula unit. For the density of states at the Fermi level, the calculation gives 3.0 states/eV/f.u.

It has space group F-43m (No. 216), with a = 6.846 Å, b = 6.846 Å, c = 6.846 Å, α = 90.00°, β = 90.00° and γ = 90.00°. The asymmetric unit holds Cr at (0.000, 0.000, 0.000), Cu at (0.125, 0.125, 0.375) and P at (0.250, 0.250, 0.750).

=====

# 11
Here is a geometry-optimized CrCuP2 structure from Alexandria via LeMat-Bulk. Energies are from PBE-GGA.

Its mass density is 5.43 Mg/m³. As for the formation energy: 1.79 eV per formula unit. For the density of states at the Fermi level, the calculation gives 1.1 states/eV/f.u.

It has space group F-43m (No. 216), with a = 6.010 Å, b = 6.010 Å, c = 6.010 Å, α = 90.00°, β = 90.00° and γ = 90.00°. The asymmetric unit holds Cr at (0.000, 0.000, 0.000), Cu at (0.250, 0.250, 0.250), P at (0.000, 0.000, 0.500) and P at (0.250, 0.250, 0.750).

=====

# 12
Here is a geometry-optimized CrCuP2 structure from Alexandria via LeMat-Bulk. Energies are from PBE-GGA.

Its mass density is 5.69 Mg/m³. As for the formation energy: 0.05 eV per formula unit. For the density of states at the Fermi level, the calculation gives 2.9 states/eV/f.u.

It has space group C2/m (No. 12), with a = 7.437 Å, b = 2.947 Å, c = 4.778 Å, α = 90.00°, β = 98.69° and γ = 90.00°. The asymmetric unit holds Cr at (0.000, 0.000, 0.000), Cu at (0.000, 0.500, 0.500) and P at (0.229, 0.500, 0.202).

=====

# 13
Here is a geometry-optimized CrCuP2 structure from Alexandria via LeMat-Bulk. Energies are from PBE-GGA.

Its mass density is 5.48 Mg/m³. As for the formation energy: -0.22 eV per formula unit. For the density of states at the Fermi level, the calculation gives 2.7 states/eV/f.u.

It has space group Imm2 (No. 44), with a = 2.841 Å, b = 3.293 Å, c = 11.499 Å, α = 90.00°, β = 90.00° and γ = 90.00°. The asymmetric unit holds Cr at (0.000, 0.000, 0.000), Cu at (0.000, 0.500, 0.270), P at (0.000, 0.000, 0.427) and P at (0.000, 0.500, 0.658).

=====

# 14
Here is a geometry-optimized CrCuP2 structure from Alexandria via LeMat-Bulk. Energies are from PBE-GGA.

Its mass density is 5.23 Mg/m³. As for the formation energy: -0.70 eV per formula unit. For the density of states at the Fermi level, the calculation gives 1.6 states/eV/f.u.

It has space group P6_3/mmc (No. 194), with a = 2.9234 Å, b = 2.9234 Å, c = 15.2266 Å, α = 90.00°, β = 90.00° and γ = 120.00°. The asymmetric unit holds Cr at (0.0000, 0.0000, 0.0000), Cu at (0.3333, 0.6667, 0.2500) and P at (0.3333, 0.6667, 0.1033).

=====

# 15
Here is a geometry-optimized CrCu3P structure from Alexandria via LeMat-Bulk. Energies are from PBE-GGA.

Its mass density is 5.66 Mg/m³. As for the formation energy: 2.23 eV per formula unit. The value obtained for the energy above the most stable polymorph in this dataset is 0 meV/atom. For the density of states at the Fermi level, the calculation gives 1.3 states/eV/f.u.

It has space group Pm-3m (No. 221), with a = 4.313 Å, b = 4.313 Å, c = 4.313 Å, α = 90.00°, β = 90.00° and γ = 90.00°. The asymmetric unit holds Cr at (0.000, 0.000, 0.000), Cu at (0.000, 0.500, 0.500) and P at (0.500, 0.500, 0.500).

=====

# 16
Here is a geometry-optimized CrCuP2 structure from Alexandria via LeMat-Bulk. Energies are from PBE-GGA.

Its mass density is 5.93 Mg/m³. As for the formation energy: -0.07 eV per formula unit. For the density of states at the Fermi level, the calculation gives 2.5 states/eV/f.u.

It has space group P4/mmm (No. 123), with a = 2.964 Å, b = 2.964 Å, c = 5.656 Å, α = 90.00°, β = 90.00° and γ = 90.00°. The asymmetric unit holds Cr at (0.000, 0.000, 0.000), Cu at (0.000, 0.000, 0.500) and P at (0.500, 0.500, 0.224).

=====

# 17
Here is a geometry-optimized CrCuP2 structure from Alexandria via LeMat-Bulk. Energies are from PBE-GGA.

Its mass density is 4.09 Mg/m³. As for the formation energy: 0.51 eV per formula unit. For the density of states at the Fermi level, the calculation gives 1.8 states/eV/f.u.

It has space group I-42d (No. 122), with a = 5.290 Å, b = 5.290 Å, c = 10.311 Å, α = 90.00°, β = 90.00° and γ = 90.00°. The asymmetric unit holds Cr at (0.000, 0.000, 0.000), Cu at (0.000, 0.000, 0.500) and P at (0.240, 0.250, 0.125).

=====

# 18
Here is a geometry-optimized CrCuP2 structure from Alexandria via LeMat-Bulk. Energies are from PBE-GGA.

Its mass density is 5.16 Mg/m³. As for the formation energy: -0.23 eV per formula unit. For the density of states at the Fermi level, the calculation gives 2.3 states/eV/f.u.

It has space group Amm2 (No. 38), with a = 4.300 Å, b = 3.387 Å, c = 7.851 Å, α = 90.00°, β = 90.00° and γ = 90.00°. The asymmetric unit holds Cr at (0.000, 0.000, 0.000), Cu at (0.500, 0.000, 0.430), P at (0.000, 0.000, 0.302) and P at (0.500, 0.000, 0.122).

=====

# 19
Here is a geometry-optimized Cr2CuP4 structure from Alexandria via LeMat-Bulk. Energies are from PBE-GGA.

Its mass density is 3.94 Mg/m³. As for the formation energy: 3.76 eV per formula unit. For the density of states at the Fermi level, the calculation gives 3.5 states/eV/f.u.

It has space group I4/mmm (No. 139), with a = 4.330 Å, b = 4.330 Å, c = 13.090 Å, α = 90.00°, β = 90.00° and γ = 90.00°. The asymmetric unit holds Cr at (0.000, 0.000, 0.102), Cu at (0.000, 0.000, 0.500), P at (0.000, 0.000, 0.275) and P at (0.000, 0.500, 0.000).

=====

# 20
Here is a geometry-optimized CrCuP2 structure from Alexandria via LeMat-Bulk. Energies are from PBE-GGA.

Its mass density is 4.99 Mg/m³. As for the formation energy: 0.98 eV per formula unit. For the density of states at the Fermi level, the calculation gives 2.4 states/eV/f.u.

It has space group Cmm2 (No. 35), with a = 3.207 Å, b = 3.881 Å, c = 9.497 Å, α = 90.00°, β = 90.00° and γ = 90.00°. The asymmetric unit holds Cr at (0.000, 0.000, 0.000), Cu at (0.000, 0.500, 0.785), P at (0.000, 0.000, 0.582) and P at (0.000, 0.500, 0.182).

=====

# 21
Here is a geometry-optimized CrCuP2 structure from Alexandria via LeMat-Bulk. Energies are from PBE-GGA.

Its mass density is 5.72 Mg/m³. As for the formation energy: -0.28 eV per formula unit. For the density of states at the Fermi level, the calculation gives 3.5 states/eV/f.u.

It has space group R-3m (No. 166, hexagonal axes), with a = 2.8966 Å, b = 2.8966 Å, c = 21.2652 Å, α = 90.00°, β = 90.00° and γ = 120.00°. The asymmetric unit holds Cr at (0.0000, 0.0000, 0.0000), Cu at (0.0000, 0.0000, 0.5000) and P at (0.0000, 0.0000, 0.2560).

=====

# 22
Here is a geometry-optimized CrCuP4 structure from Alexandria via LeMat-Bulk. Energies are from PBE-GGA.

Its mass density is 4.46 Mg/m³. As for the formation energy: 3.86 eV per formula unit. For the density of states at the Fermi level, the calculation gives 2.3 states/eV/f.u.

It has space group F-43m (No. 216), with a = 7.093 Å, b = 7.093 Å, c = 7.093 Å, α = 90.00°, β = 90.00° and γ = 90.00°. The asymmetric unit holds Cr at (0.000, 0.000, 0.000), Cu at (0.250, 0.250, 0.750) and P at (0.122, 0.122, 0.378).

=====

# 23
Here is a geometry-optimized Cr2CuP2 structure from Alexandria via LeMat-Bulk. Energies are from PBE-GGA.

Its mass density is 6.29 Mg/m³. As for the formation energy: -1.05 eV per formula unit. For the density of states at the Fermi level, the calculation gives 3.5 states/eV/f.u.

It has space group P4/mbm (No. 127), with a = 6.500 Å, b = 6.500 Å, c = 2.867 Å, α = 90.00°, β = 90.00° and γ = 90.00°. The asymmetric unit holds Cr at (0.145, 0.355, 0.000), Cu at (0.000, 0.000, 0.500) and P at (0.148, 0.648, 0.500).

=====

# 24
Here is a geometry-optimized CrCu3P structure from Alexandria via LeMat-Bulk. Energies are from PBE-GGA.

Its mass density is 5.23 Mg/m³. As for the formation energy: 8.01 eV per formula unit. The value obtained for the energy above the most stable polymorph in this dataset is 1157 meV/atom. For the density of states at the Fermi level, the calculation gives 5.8 states/eV/f.u.

It has space group Pm-3m (No. 221), with a = 4.430 Å, b = 4.430 Å, c = 4.430 Å, α = 90.00°, β = 90.00° and γ = 90.00°. The asymmetric unit holds Cr at (0.000, 0.000, 0.000), Cu at (0.000, 0.000, 0.500) and P at (0.500, 0.500, 0.500).

=====

# 25
Here is a geometry-optimized CrCuP2 structure from Alexandria via LeMat-Bulk. Energies are from PBE-GGA.

Its mass density is 5.98 Mg/m³. As for the formation energy: 0.69 eV per formula unit. For the density of states at the Fermi level, the calculation gives 2.4 states/eV/f.u.

It has space group Immm (No. 71), with a = 3.370 Å, b = 4.232 Å, c = 6.911 Å, α = 90.00°, β = 90.00° and γ = 90.00°. The asymmetric unit holds Cr at (0.000, 0.000, 0.000), Cu at (0.000, 0.000, 0.500) and P at (0.000, 0.500, 0.237).

=====

# 26
Here is a geometry-optimized CrCuP2 structure from Alexandria via LeMat-Bulk. Energies are from PBE-GGA.

Its mass density is 5.67 Mg/m³. As for the formation energy: 0.57 eV per formula unit. For the density of states at the Fermi level, the calculation gives 2.9 states/eV/f.u.

It has space group P4/mmm (No. 123), with a = 4.053 Å, b = 4.053 Å, c = 3.164 Å, α = 90.00°, β = 90.00° and γ = 90.00°. The asymmetric unit holds Cr at (0.000, 0.000, 0.000), Cu at (0.500, 0.500, 0.000) and P at (0.000, 0.500, 0.500).

=====

# 27
Here is a geometry-optimized CrCu2PPt structure from Alexandria via LeMat-Bulk. Energies are from PBE-GGA.

Its mass density is 8.90 Mg/m³. As for the formation energy: 2.20 eV per formula unit. For the density of states at the Fermi level, the calculation gives 5.3 states/eV/f.u.

It has space group P4/mmm (No. 123), with a = 4.208 Å, b = 4.208 Å, c = 4.271 Å, α = 90.00°, β = 90.00° and γ = 90.00°. The asymmetric unit holds Cr at (0.000, 0.000, 0.000), Cu at (0.000, 0.500, 0.500), P at (0.000, 0.000, 0.500) and Pt at (0.500, 0.500, 0.000).